i) The following is a PBE-GGA calculation of an optimized crystal structure of Te2As2I, from Alexandria.

Total moment, μB/f.u.: 0.00
DOS(E_F), states/eV/cell: 9.2

Unit cell a=8.661 b=8.661 c=10.117 alpha=90.00 beta=90.00 gamma=90.00
Space group I4_1md (No. 109)
Asymmetric unit:
Te1 0.000 0.192 0.000 x8
As1 0.000 0.150 0.738 x8
I1 0.000 0.000 0.430 x4

---

ii) The following is a PBE-GGA calculation of an optimized crystal structure of Te2As2I, from Alexandria.

Total moment, μB/f.u.: 0.00
DOS(E_F), states/eV/cell: 4.7

Unit cell a=9.871 b=9.871 c=3.471 alpha=90.00 beta=90.00 gamma=90.00
Space group P4/mbm (No. 127)
Asymmetric unit:
Te1 0.145 0.355 0.000 x4
As1 0.087 0.587 0.500 x4
I1 0.000 0.000 0.000 x2

---

Short version: ii) is the least stable of them.

---

i) The following is a PBE-GGA calculation of an optimized crystal structure of Te2AsI2, from Alexandria.

Total moment, μB/f.u.: 0.00
DOS(E_F), states/eV/cell: 1.6

Unit cell a=9.331 b=12.112 c=8.510 alpha=90.00 beta=119.86 gamma=90.00
Space group C2/m (No. 12)
Asymmetric unit:
Te1 0.153 0.000 0.365 x4
Te2 0.177 0.000 0.793 x4
As1 0.000 0.171 0.500 x4
I1 0.038 0.325 0.754 x8

---

ii) The following is a PBE-GGA calculation of an optimized crystal structure of Te2AsI2, from Alexandria.

Total moment, μB/f.u.: 0.00
DOS(E_F), states/eV/cell: 10.8

Unit cell a=7.954 b=7.954 c=5.935 alpha=90.00 beta=90.00 gamma=90.00
Space group P4/mbm (No. 127)
Asymmetric unit:
Te1 0.213 0.287 0.000 x4
As1 0.000 0.000 0.000 x2
I1 0.178 0.322 0.500 x4

---

Short version: ii) is the least stable of them.

---

i) The following is a PBE-GGA calculation of an optimized crystal structure of Te7As5I, from Alexandria.

Total moment, μB/f.u.: 0.00
DOS(E_F), states/eV/cell: 1.7

Unit cell a=6.919 b=7.323 c=8.493 alpha=104.64 beta=101.31 gamma=92.78
Space group P1 (No. 1)
Asymmetric unit:
Te1 0.000 0.000 0.000 x1
Te2 0.021 0.332 0.386 x1
Te3 0.244 0.688 0.136 x1
Te4 0.460 0.401 0.272 x1
Te5 0.546 0.606 0.744 x1
Te6 0.694 0.098 0.422 x1
Te7 0.750 0.328 0.888 x1
As1 0.151 0.499 0.808 x1
As2 0.396 0.143 0.968 x1
As3 0.598 0.894 0.083 x1
As4 0.830 0.549 0.209 x1
As5 0.952 0.739 0.708 x1
I1 0.310 0.939 0.571 x1

---

ii) The following is a PBE-GGA calculation of an optimized crystal structure of Te7As5I, from Alexandria.

Total moment, μB/f.u.: 0.00
DOS(E_F), states/eV/cell: 0.3

Unit cell a=15.240 b=4.074 c=14.104 alpha=90.00 beta=110.39 gamma=90.00
Space group Cm (No. 8)
Asymmetric unit:
Te1 0.000 0.000 0.000 x2
Te2 0.019 0.000 0.713 x2
Te3 0.158 0.500 0.252 x2
Te4 0.216 0.500 0.944 x2
Te5 0.308 0.000 0.766 x2
Te6 0.339 0.000 0.481 x2
Te7 0.429 0.500 0.277 x2
As1 0.149 0.000 0.388 x2
As2 0.186 0.000 0.060 x2
As3 0.328 0.500 0.627 x2
As4 0.467 0.000 0.166 x2
As5 0.497 0.000 0.844 x2
I1 0.111 0.500 0.527 x2

---

Short version: i) is the least stable of them.